AcGaI4 | GGA-PBE | optimized geometry

Its uncorrected formation energy is -1.0575 eV per atom. As for the crystal system: monoclinic. The magnetic moment comes out at 0.00 μB/cell.

It has space group C2/m (No. 12), with a = 15.927 Å, b = 5.697 Å, c = 5.689 Å, α = 90.00°, β = 91.90° and γ = 90.00°. The inequivalent atoms are Ac at (0.000, 0.000, 0.000), Ga at (0.000, 0.500, 0.500), I at (0.122, 0.000, 0.511) and I at (0.122, 0.500, 0.011).